# 1
A plane-wave DFT calculation with GGA-PBE was carried out for crystalline Al4AsP at its relaxed geometry.

As for the density of states at the Fermi level: 12.01 states/eV per cell. The calculation puts the formation energy at 2.2 eV/f.u.

It has space group F-43m (No. 216), with a = 7.492 Å, b = 7.492 Å, c = 7.492 Å, α = 90.00°, β = 90.00° and γ = 90.00°. Symmetry generates all atoms from Al at (0.125, 0.125, 0.125), As at (0.250, 0.250, 0.750) and P at (0.000, 0.000, 0.500).

# 2
A plane-wave DFT calculation with GGA-PBE was carried out for crystalline Ac14YTm at its relaxed geometry.

As for the density of states at the Fermi level: 53.03 states/eV per cell. The calculation puts the formation energy at 0.5 eV/f.u.

It has space group Amm2 (No. 38), with a = 11.184 Å, b = 11.127 Å, c = 11.129 Å, α = 90.00°, β = 90.00° and γ = 90.00°. Symmetry generates all atoms from Ac at (0.000, 0.000, 0.000), Ac at (0.000, 0.000, 0.500), Ac at (0.000, 0.250, 0.250), Ac at (0.256, 0.000, 0.251), Ac at (0.257, 0.000, 0.749), Ac at (0.257, 0.249, 0.500), Ac at (0.500, 0.250, 0.250), Y at (0.500, 0.000, 0.000) and Tm at (0.500, 0.000, 0.500).